(1)
Entry from Alexandria via LeMat-Bulk: a relaxed TePRu2 crystal (GGA-PBE).

Cell: 3.4819 3.1613 6.3709 Å, 77.87 90.00 90.00°
With the nearest neighbours (Å) after each atom.
Sites, in units of the cell vectors:
Te  0.5000  0.5000  0.0000  8 Ru 3.00-3.01, 2 Te 3.16, 2 P 3.24
P  0.5000  0.0000  0.5000  4 Ru 2.25
Ru  0.0000  0.1308  0.7001  2 P 2.25
Ru  0.0000  0.8692  0.2999  2 P 2.25

* ΔE_f (raw): 0.13 eV per atom
* ΔE to the lowest computed polymorph: 325 meV/atom
* mass density: 8.74 g cm⁻³
* calculated total energy: -0.489 Ry per atom

(2)
Entry from Alexandria via LeMat-Bulk: a relaxed Te3PRu crystal (GGA-PBE).

Cell: 5.0777 5.0777 5.0777 Å, 90.00 90.00 90.00°
With the nearest neighbours (Å) after each atom.
Sites, in units of the cell vectors:
P  0.0000  0.0000  0.0000  6 Te 2.54
Ru  0.5000  0.5000  0.5000  12 Te 3.59
Te  0.5000  0.0000  0.0000  2 P 2.54
Te  0.0000  0.5000  0.0000  2 P 2.54
Te  0.0000  0.0000  0.5000  2 P 2.54

* ΔE_f (raw): 1.17 eV per atom
* ΔE to the lowest computed polymorph: 342 meV/atom
* mass density: 6.53 g cm⁻³
* calculated total energy: -0.269 Ry per atom

(3)
Entry from Alexandria via LeMat-Bulk: a relaxed Te2PRu crystal (GGA-PBE).

Cell: 3.8289 3.8289 8.9672 Å, 85.29 85.29 47.70°
With the nearest neighbours (Å) after each atom.
Sites, in units of the cell vectors:
P  0.6020  0.6020  0.5870  3 Ru 2.34-2.35, 1 Te 2.55
Ru  0.2900  0.2900  0.7057  3 P 2.34-2.35
Te  0.6364  0.6364  0.3012  1 P 2.55
Te  0.9717  0.9717  0.9061  3 Ru 2.73-2.77

* ΔE_f (raw): -0.08 eV per atom
* mass density: 6.64 g cm⁻³
* calculated total energy: -0.392 Ry per atom